# 1
The following is a PBE-GGA calculation of a relaxed MgZnCo2 crystal, from Alexandria.

Lattice parameters (Å, degrees): 6.7746 6.7746 5.0640 90.00 90.00 90.00
Last column: nearest neighbours and their distance in Å.
Space group I-42d (No. 122)
Unique sites:
Mg 0.0000 0.0000 0.0000 (multiplicity 4)  2 Zn 2.53, 4 Co 2.57
Zn 0.0000 0.0000 0.5000 (multiplicity 4)  4 Co 2.39, 2 Mg 2.53
Co 0.2309 0.2500 0.6250 (multiplicity 8)  2 Zn 2.39, 2 Co 2.55, 2 Mg 2.57

## Properties
Formation energy from the elements = 446 meV per atom
Crystal system = tetragonal
Size of the total moment = 0.670 μB per atom

# 2
The following is a PBE-GGA calculation of a relaxed Mg10Ag3Au3 crystal, from Alexandria.

Lattice parameters (Å, degrees): 8.0461 8.0461 5.6707 90.00 90.00 120.00
Last column: nearest neighbours and their distance in Å.
Space group P-62m (No. 189)
Unique sites:
Mg 0.0000 0.2500 0.0000 (multiplicity 3)  3 Au 2.76-2.89, 2 Ag 3.07
Mg 0.0000 0.7558 0.5000 (multiplicity 3)  3 Ag 2.79-2.89, 2 Au 3.07
Mg 0.3333 0.6667 0.2469 (multiplicity 4)  2 Mg 2.80-2.87, 3 Au 2.85, 3 Ag 2.85
Ag 0.0000 0.3966 0.5000 (multiplicity 3)  9 Mg 2.79-3.07
Au 0.0000 0.6089 0.0000 (multiplicity 3)  9 Mg 2.76-3.07

## Properties
Formation energy from the elements = -349 meV per atom
Crystal system = hexagonal
Size of the total moment = 0.000 μB per atom

# 3
The following is a PBE-GGA calculation of a relaxed Tb5Pm2Ir4 crystal, from Alexandria.

Lattice parameters (Å, degrees): 24.4202 3.7166 6.9155 90.00 94.36 90.00
Last column: nearest neighbours and their distance in Å.
Space group C2/m (No. 12)
Unique sites:
Tb 0.0000 0.0000 0.0000 (multiplicity 2)  4 Ir 2.82
Tb 0.1330 0.5000 0.1930 (multiplicity 4)  3 Ir 2.74-2.84
Tb 0.2329 0.5000 0.7081 (multiplicity 4)  3 Ir 2.81-2.84
Pm 0.0865 0.5000 0.6569 (multiplicity 4)  4 Ir 2.78-3.04
Ir 0.0272 0.5000 0.2980 (multiplicity 4)  3 Tb 2.74-2.82, 2 Pm 2.78-2.82
Ir 0.1686 0.0000 0.4863 (multiplicity 4)  5 Tb 2.81-2.84, 2 Pm 3.04

## Properties
Formation energy from the elements = -384 meV per atom
Crystal system = monoclinic
Size of the total moment = 0.000 μB per atom

# 4
The following is a PBE-GGA calculation of a relaxed ZrBe4Cl crystal, from Alexandria.

Lattice parameters (Å, degrees): 6.8171 6.8171 6.8171 90.00 90.00 90.00
Last column: nearest neighbours and their distance in Å.
Space group F-43m (No. 216)
Unique sites:
Zr 0.0000 0.0000 0.0000 (multiplicity 4)  12 Be 2.81, 4 Cl 2.95
Be 0.1358 0.1358 0.6358 (multiplicity 16)  3 Be 2.20
Cl 0.2500 0.2500 0.2500 (multiplicity 4)  12 Be 2.85, 4 Zr 2.95

## Properties
Crystal system = cubic
Energy relative to the elements, uncorrected = 0.42 eV/atom
Size of the total moment = 0.211 μB per atom

# 5
The following is a PBE-GGA calculation of a relaxed NaAcSm2Tl4 crystal, from Alexandria.

Lattice parameters (Å, degrees): 5.4777 5.4777 28.0795 90.00 90.00 120.00
Last column: nearest neighbours and their distance in Å.
Space group R-3m (No. 166, hexagonal axes)
Unique sites:
Na 0.0000 0.0000 0.0000 (multiplicity 3)  8 Tl 3.35
Ac 0.0000 0.0000 0.5000 (multiplicity 3)  8 Tl 3.43-3.57
Sm 0.0000 0.0000 0.2575 (multiplicity 6)  7 Tl 3.24-3.39
Tl 0.0000 0.0000 0.1195 (multiplicity 6)  1 Na 3.35, 3 Sm 3.39, 3 Ac 3.43
Tl 0.0000 0.0000 0.3728 (multiplicity 6)  4 Sm 3.24-3.32, 3 Na 3.35, 1 Ac 3.57

## Properties
Formation energy from the elements = -290 meV per atom
Crystal system = trigonal
Size of the total moment = 0.000 μB per atom

# 6
The following is a PBE-GGA calculation of a relaxed NdBe2Pd5Au crystal, from Alexandria.

Lattice parameters (Å, degrees): 4.4711 4.4711 7.2734 90.00 90.00 90.00
Last column: nearest neighbours and their distance in Å.
Space group P4/mmm (No. 123)
Unique sites:
Nd 0.0000 0.0000 0.0000 (multiplicity 1)  12 Pd 3.00-3.16
Be 0.5000 0.5000 0.3315 (multiplicity 2)  5 Pd 2.27-2.41, 1 Be 2.45
Pd 0.0000 0.5000 0.2754 (multiplicity 4)  2 Be 2.27
Pd 0.5000 0.5000 0.0000 (multiplicity 1)  2 Be 2.41
Au 0.0000 0.0000 0.5000 (multiplicity 1)  8 Pd 2.77

## Properties
Formation energy from the elements = -423 meV per atom
Crystal system = tetragonal
Size of the total moment = 0.000 μB per atom

# 7
The following is a PBE-GGA calculation of a relaxed Cs2Na2Pb crystal, from Alexandria.

Lattice parameters (Å, degrees): 8.6108 8.6108 6.7656 90.00 90.00 90.00
Last column: nearest neighbours and their distance in Å.
Space group P4/mbm (No. 127)
Unique sites:
Cs 0.1884 0.3116 0.0000 (multiplicity 4)  2 Na 3.84
Na 0.1624 0.6624 0.5000 (multiplicity 4)  2 Pb 3.23
Pb 0.0000 0.0000 0.5000 (multiplicity 2)  4 Na 3.23

## Properties
Formation energy from the elements = -10 meV per atom
Crystal system = tetragonal
Relative energy among the computed polymorphs = 58 meV per atom
Size of the total moment = 0.000 μB per atom

# 8
The following is a PBE-GGA calculation of a relaxed Ta2TlIr crystal, from Alexandria.

Lattice parameters (Å, degrees): 2.9653 2.9653 28.9197 90.00 90.00 120.00
Last column: nearest neighbours and their distance in Å.
Space group R-3m (No. 166, hexagonal axes)
Unique sites:
Ta 0.0000 0.0000 0.2437 (multiplicity 6)  3 Ir 2.81, 6 Ta 2.97, 3 Tl 3.11
Tl 0.0000 0.0000 0.0000 (multiplicity 3)  6 Tl 2.97, 6 Ta 3.11
Ir 0.0000 0.0000 0.5000 (multiplicity 3)  6 Ta 2.81, 6 Ir 2.97

## Properties
Formation energy from the elements = 197 meV per atom
Crystal system = trigonal
Relative energy among the computed polymorphs = 199 meV per atom
Size of the total moment = 0.000 μB per atom

# 9
The following is a PBE-GGA calculation of a relaxed Pm2DySb3 crystal, from Alexandria.

Lattice parameters (Å, degrees): 7.7212 13.3744 7.7178 90.00 109.48 90.00
Last column: nearest neighbours and their distance in Å.
Space group C2/m (No. 12)
Unique sites:
Pm 0.0000 0.0000 0.0000 (multiplicity 2)  6 Sb 3.15-3.16
Pm 0.0000 0.1651 0.5000 (multiplicity 4)  6 Sb 3.16-3.18
Pm 0.0000 0.5000 0.5000 (multiplicity 2)  6 Sb 3.15-3.18
Dy 0.0000 0.3327 0.0000 (multiplicity 4)  6 Sb 3.12
Sb 0.2439 0.5000 0.2441 (multiplicity 4)  2 Dy 3.12, 4 Pm 3.15-3.17
Sb 0.2493 0.3315 0.7541 (multiplicity 8)  2 Dy 3.12, 4 Pm 3.16-3.18

## Properties
Crystal system = monoclinic
Energy relative to the elements, uncorrected = -1.17 eV/atom
Size of the total moment = 0.000 μB per atom

# 10
The following is a PBE-GGA calculation of a relaxed KNi2Ag crystal, from Alexandria.

Lattice parameters (Å, degrees): 11.3434 2.7751 5.7779 90.00 111.18 90.00
Last column: nearest neighbours and their distance in Å.
Space group Cm (No. 8)
Unique sites:
K 0.0000 0.0000 0.0000 (multiplicity 2)  2 K 2.78
Ni 0.0135 0.5000 0.5093 (multiplicity 2)  2 Ni 2.31
Ni 0.1885 0.0000 0.6172 (multiplicity 2)  2 Ni 2.31
Ag 0.3039 0.5000 0.3788 (multiplicity 2)  4 Ni 2.62, 2 Ag 2.78

## Properties
Formation energy from the elements = 542 meV per atom
Crystal system = monoclinic
Relative energy among the computed polymorphs = 132 meV per atom
Size of the total moment = 0.257 μB per atom

# 11
The following is a PBE-GGA calculation of a relaxed SmHoPa4 crystal, from Alexandria.

Lattice parameters (Å, degrees): 8.7134 8.7134 8.7134 90.00 90.00 90.00
Last column: nearest neighbours and their distance in Å.
Space group F-43m (No. 216)
Unique sites:
Sm 0.0000 0.0000 0.0000 (multiplicity 4)  12 Pa 3.61, 4 Ho 3.77
Ho 0.2500 0.2500 0.7500 (multiplicity 4)  12 Pa 3.61, 4 Sm 3.77
Pa 0.1249 0.1249 0.3751 (multiplicity 16)  6 Pa 3.08

## Properties
Formation energy from the elements = 237 meV per atom
Crystal system = cubic
Size of the total moment = 0.000 μB per atom

# 12
The following is a PBE-GGA calculation of a relaxed TaNi2Rh crystal, from Alexandria.

Lattice parameters (Å, degrees): 4.2832 5.3164 4.6623 90.00 90.00 90.00
Last column: nearest neighbours and their distance in Å.
Space group Pmmn (No. 59, origin choice 2)
Unique sites:
Ta 0.2500 0.2500 0.1642 (multiplicity 2)  8 Ni 2.65-2.70, 4 Rh 2.66-2.67
Ni 0.2500 0.0010 0.6587 (multiplicity 4)  4 Ni 2.60-2.67, 4 Rh 2.61-2.76, 4 Ta 2.65-2.70
Rh 0.2500 0.7500 0.1781 (multiplicity 2)  8 Ni 2.61-2.76, 4 Ta 2.66-2.67

## Properties
Formation energy from the elements = -436 meV per atom
Crystal system = orthorhombic
Size of the total moment = 0.000 μB per atom

> Which of these has the highest size of the total moment?

MgZnCo2

> The highest size of the total moment belongs to which entry?

MgZnCo2

> Among the records above, which one has the highest size of the total moment?

MgZnCo2